# 1
# CaCrBPb2

CaCrBPb2 after structural relaxation (PBE-GGA, Alexandria).

Computed properties:
- ρ: 7.3 Mg/m³
- Formation energy from the elements: 417 meV per atom
- Total moment: 3.458 μB per formula unit
- Space-group type: No. 123
- Raw total energy: -4.727 eV/atom

Cell: 5.2540 5.2540 4.2570 Å, 90.00 90.00 90.00°
Last column: nearest neighbours and their distance in Å.
Positions (direct):
1 Ca 0.0000 0.0000 0.0000  8 Pb 3.38, 4 Cr 3.72
2 Cr 0.5000 0.5000 0.0000  2 B 2.13
3 B 0.5000 0.5000 0.5000  2 Cr 2.13
4 Pb 0.0000 0.5000 0.5000  2 B 2.63
5 Pb 0.5000 0.0000 0.5000  2 B 2.63

# 2
# Ca2CrBPb

Ca2CrBPb after structural relaxation (PBE-GGA, Alexandria).

Computed properties:
- ρ: 5.0 Mg/m³
- Formation energy from the elements: 58 meV per atom
- Total moment: 2.492 μB per formula unit
- Space-group type: No. 123
- Raw total energy: -4.744 eV/atom

Cell: 5.3282 5.3282 4.1106 Å, 90.00 90.00 90.00°
Last column: nearest neighbours and their distance in Å.
Positions (direct):
1 Ca 0.0000 0.5000 0.0000  2 B 2.66
2 Ca 0.5000 0.0000 0.0000  2 B 2.66
3 Cr 0.0000 0.0000 0.5000  2 B 2.06
4 B 0.0000 0.0000 0.0000  2 Cr 2.06
5 Pb 0.5000 0.5000 0.5000  8 Ca 3.36, 4 Cr 3.77

# 3
# CaCrSi2B6

CaCrSi2B6 after structural relaxation (PBE-GGA, Alexandria).

Computed properties:
- ρ: 2.9 Mg/m³
- Formation energy without anion corrections: 0.11 eV/atom
- Total moment: 0.000 μB per formula unit
- Space-group type: No. 15
- Raw total energy: -6.144 eV/atom

Cell: 6.8713 6.8713 6.2088 Å, 110.70 110.70 97.53°
Last column: nearest neighbours and their distance in Å.
Positions (direct):
1 Ca 0.2314 0.7686 0.7500  8 B 2.77-3.06
2 Ca 0.7686 0.2314 0.2500  8 B 2.77-3.06
3 Cr 0.1096 0.8904 0.2500  4 B 2.04-2.11
4 Cr 0.8904 0.1096 0.7500  4 B 2.04-2.11
5 Si 0.2664 0.3973 0.1321  4 B 2.01-2.18
6 Si 0.3973 0.2664 0.6321  4 B 2.01-2.18
7 Si 0.6027 0.7336 0.3679  4 B 2.01-2.18
8 Si 0.7336 0.6027 0.8679  4 B 2.01-2.18
9 B 0.0145 0.5121 0.1482  2 B 1.67-1.72
10 B 0.0868 0.1126 0.5545  2 B 1.58-1.63
11 B 0.1126 0.0868 0.0545  2 B 1.58-1.63
12 B 0.1553 0.3642 0.7627  2 B 1.63-1.67
13 B 0.3642 0.1553 0.2627  2 B 1.63-1.67
14 B 0.4879 0.9855 0.3518  2 B 1.67-1.72
15 B 0.5121 0.0145 0.6482  2 B 1.67-1.72
16 B 0.6358 0.8447 0.7373  2 B 1.63-1.67
17 B 0.8447 0.6358 0.2373  2 B 1.63-1.67
18 B 0.8874 0.9132 0.9455  2 B 1.58-1.63
19 B 0.9132 0.8874 0.4455  2 B 1.58-1.63
20 B 0.9855 0.4879 0.8518  2 B 1.67-1.72

# 4
# Ca2CrTcB

Ca2CrTcB after structural relaxation (PBE-GGA, Alexandria).

Computed properties:
- ρ: 3.0 Mg/m³
- Formation energy from the elements: 1432 meV per atom
- Total moment: 2.340 μB per formula unit
- Space-group type: No. 123
- Raw total energy: -4.702 eV/atom

Cell: 5.4883 5.4883 4.4221 Å, 90.00 90.00 90.00°
Last column: nearest neighbours and their distance in Å.
Positions (direct):
1 Ca 0.0000 0.5000 0.0000  2 Tc 2.74
2 Ca 0.5000 0.0000 0.0000  2 Tc 2.74
3 Cr 0.0000 0.0000 0.5000  2 Tc 2.21
4 Tc 0.0000 0.0000 0.0000  2 Cr 2.21
5 B 0.5000 0.5000 0.5000  8 Ca 3.52, 4 Cr 3.88

> Number 3 is which compound?

CaCrSi2B6